Here is a relaxed structure of K16Na12Tl from Alexandria. Energies are from PBE.

Calculated values
space-group type = Cm, No. 8
V = 1559.2 Å³/cell
formation energy from the elements = 0.35 eV/f.u.

Lattice parameters (Å, degrees): 12.4703 12.4703 12.7241 109.30 109.30 107.82
Atoms (fractional coordinates):
K (0.0000, 0.0000, 0.0000)
K (0.0050, 0.5931, 0.3244)
K (0.0080, 0.3638, 0.0004)
K (0.0130, 0.0130, 0.3614)
K (0.2888, 0.6713, 0.6946)
K (0.3165, 0.9980, 0.5944)
K (0.3467, 0.5652, 0.9745)
K (0.3638, 0.0080, 0.0004)
K (0.4110, 0.7037, 0.4043)
K (0.5652, 0.3467, 0.9745)
K (0.5931, 0.0050, 0.3244)
K (0.6066, 0.6066, 0.6837)
K (0.6713, 0.2888, 0.6946)
K (0.7037, 0.4110, 0.4043)
K (0.7081, 0.7081, 0.3103)
K (0.9980, 0.3165, 0.5944)
Na (0.9999, 0.8128, 0.6550)
Na (0.0040, 0.6371, 0.8322)
Na (0.1718, 0.1718, 0.7878)
Na (0.1861, 0.3582, 0.3821)
Na (0.1961, 0.8171, 0.1787)
Na (0.3443, 0.3443, 0.1693)
Na (0.3582, 0.1861, 0.3821)
Na (0.6371, 0.0040, 0.8322)
Na (0.6620, 0.8461, 0.0315)
Na (0.8128, 0.9999, 0.6550)
Na (0.8171, 0.1961, 0.1787)
Na (0.8461, 0.6620, 0.0315)
Tl (0.3292, 0.3292, 0.6518)


Here is a relaxed structure of K2Na4Tl from Alexandria. Energies are from PBE.

Calculated values
space-group type = I4/mmm, No. 139
V = 349.5 Å³/cell
distance to the lowest polymorph of the same formula = 63 meV per atom
formation energy from the elements = 0.34 eV/f.u.

Lattice parameters (Å, degrees): 10.5865 10.5865 10.5865 147.06 147.06 47.28
Atoms (fractional coordinates):
K (0.1359, 0.1359, 0.0000)
K (0.8641, 0.8641, 0.0000)
Na (0.0000, 0.5000, 0.5000)
Na (0.3391, 0.3391, 0.0000)
Na (0.5000, 0.0000, 0.5000)
Na (0.6609, 0.6609, 0.0000)
Tl (0.5000, 0.5000, 0.0000)


Here is a relaxed structure of K4Na4Tl from Alexandria. Energies are from PBE.

Calculated values
space-group type = I-42m, No. 121
V = 496.1 Å³/cell
formation energy from the elements = 0.56 eV/f.u.

Lattice parameters (Å, degrees): 9.6728 9.6728 9.6728 131.57 131.57 70.91
Atoms (fractional coordinates):
K (0.0964, 0.6362, 0.0000)
K (0.3638, 0.3638, 0.4601)
K (0.6362, 0.0964, 0.0000)
K (0.9036, 0.9036, 0.5399)
Na (0.1565, 0.1565, 0.5433)
Na (0.3868, 0.8435, 0.0000)
Na (0.6132, 0.6132, 0.4567)
Na (0.8435, 0.3868, 0.0000)
Tl (0.5000, 0.5000, 0.0000)


Here is a relaxed structure of K2Na12Tl5 from Alexandria. Energies are from PBE.

Calculated values
space-group type = R-3m, No. 166
V = 671.7 Å³/cell
formation energy from the elements = -1.17 eV/f.u.

Lattice parameters (Å, degrees): 8.8054 8.8054 8.8054 83.84 83.84 83.84
Atoms (fractional coordinates):
K (0.1690, 0.1690, 0.1690)
K (0.8310, 0.8310, 0.8310)
Na (0.1571, 0.1571, 0.6201)
Na (0.1571, 0.6201, 0.1571)
Na (0.2195, 0.5000, 0.7805)
Na (0.2195, 0.7805, 0.5000)
Na (0.3799, 0.8429, 0.8429)
Na (0.5000, 0.2195, 0.7805)
Na (0.5000, 0.7805, 0.2195)
Na (0.6201, 0.1571, 0.1571)
Na (0.7805, 0.2195, 0.5000)
Na (0.7805, 0.5000, 0.2195)
Na (0.8429, 0.3799, 0.8429)
Na (0.8429, 0.8429, 0.3799)
Tl (0.0000, 0.5000, 0.5000)
Tl (0.4023, 0.4023, 0.4023)
Tl (0.5000, 0.0000, 0.5000)
Tl (0.5000, 0.5000, 0.0000)
Tl (0.5977, 0.5977, 0.5977)


Here is a relaxed structure of K4Na15Tl from Alexandria. Energies are from PBE.

Calculated values
space-group type = P4/mmm, No. 123
V = 838.7 Å³/cell
formation energy from the elements = 0.20 eV/f.u.

Lattice parameters (Å, degrees): 5.7288 5.7288 25.5540 90.00 90.00 90.00
Atoms (fractional coordinates):
K (0.0000, 0.0000, 0.1078)
K (0.0000, 0.0000, 0.3239)
K (0.0000, 0.0000, 0.6761)
K (0.0000, 0.0000, 0.8922)
Na (0.0000, 0.5000, 0.0000)
Na (0.0000, 0.5000, 0.2152)
Na (0.0000, 0.5000, 0.4264)
Na (0.0000, 0.5000, 0.5736)
Na (0.0000, 0.5000, 0.7848)
Na (0.5000, 0.0000, 0.0000)
Na (0.5000, 0.0000, 0.2152)
Na (0.5000, 0.0000, 0.4264)
Na (0.5000, 0.0000, 0.5736)
Na (0.5000, 0.0000, 0.7848)
Na (0.5000, 0.5000, 0.1092)
Na (0.5000, 0.5000, 0.3168)
Na (0.5000, 0.5000, 0.5000)
Na (0.5000, 0.5000, 0.6832)
Na (0.5000, 0.5000, 0.8908)
Tl (0.0000, 0.0000, 0.5000)


Here is a relaxed structure of KNa2Tl6 from Alexandria. Energies are from PBE.

Calculated values
space-group type = P4_2/mnm, No. 136
V = 555.8 Å³/cell
distance to the lowest polymorph of the same formula = 0 meV per atom
formation energy from the elements = -0.69 eV/f.u.

Lattice parameters (Å, degrees): 10.4995 10.4995 5.0417 90.00 90.00 90.00
Atoms (fractional coordinates):
K (0.0000, 0.0000, 0.0000)
K (0.5000, 0.5000, 0.5000)
Na (0.1836, 0.1836, 0.5000)
Na (0.3164, 0.6836, 0.0000)
Na (0.6836, 0.3164, 0.0000)
Na (0.8164, 0.8164, 0.5000)
Tl (0.0134, 0.3421, 0.0000)
Tl (0.1579, 0.5134, 0.5000)
Tl (0.1692, 0.8308, 0.5000)
Tl (0.3308, 0.3308, 0.0000)
Tl (0.3421, 0.0134, 0.0000)
Tl (0.4866, 0.8421, 0.5000)
Tl (0.5134, 0.1579, 0.5000)
Tl (0.6579, 0.9866, 0.0000)
Tl (0.6692, 0.6692, 0.0000)
Tl (0.8308, 0.1692, 0.5000)
Tl (0.8421, 0.4866, 0.5000)
Tl (0.9866, 0.6579, 0.0000)


Here is a relaxed structure of K3Na9Tl2 from Alexandria. Energies are from PBE.

Calculated values
space-group type = Immm, No. 71
V = 574.2 Å³/cell
formation energy from the elements = -0.22 eV/f.u.

Lattice parameters (Å, degrees): 10.5314 10.5314 10.5314 149.31 96.69 91.35
Atoms (fractional coordinates):
K (0.0000, 0.0000, 0.0000)
K (0.3054, 0.3054, 0.0000)
K (0.6946, 0.6946, 0.0000)
Na (0.0047, 0.3656, 0.6392)
Na (0.1612, 0.8754, 0.2859)
Na (0.2736, 0.6344, 0.6392)
Na (0.4105, 0.1246, 0.2859)
Na (0.5000, 0.0000, 0.5000)
Na (0.5895, 0.8754, 0.7141)
Na (0.7264, 0.3656, 0.3608)
Na (0.8388, 0.1246, 0.7141)
Na (0.9953, 0.6344, 0.3608)
Tl (0.3297, 0.5000, 0.8297)
Tl (0.6703, 0.5000, 0.1703)


Here is a relaxed structure of KNa16Tl12 from Alexandria. Energies are from PBE.

Calculated values
space-group type = Cm, No. 8
V = 883.2 Å³/cell
formation energy from the elements = -2.76 eV/f.u.

Lattice parameters (Å, degrees): 10.4346 10.4346 10.3898 108.98 108.98 109.29
Atoms (fractional coordinates):
K (0.0000, 0.0000, 0.0000)
Na (0.0038, 0.7015, 0.3108)
Na (0.0864, 0.4268, 0.7331)
Na (0.1130, 0.8281, 0.7191)
Na (0.1142, 0.4261, 0.1439)
Na (0.1450, 0.7277, 0.0391)
Na (0.4132, 0.4132, 0.7183)
Na (0.4213, 0.4213, 0.3889)
Na (0.4207, 0.8370, 0.4192)
Na (0.4261, 0.1142, 0.1439)
Na (0.4268, 0.0864, 0.7331)
Na (0.7015, 0.0038, 0.3108)
Na (0.7277, 0.1450, 0.0391)
Na (0.7292, 0.7292, 0.4520)
Na (0.7311, 0.7311, 0.0475)
Na (0.8281, 0.1130, 0.7191)
Na (0.8370, 0.4207, 0.4192)
Tl (0.0379, 0.0379, 0.5418)
Tl (0.0446, 0.2385, 0.3612)
Tl (0.2281, 0.6115, 0.5331)
Tl (0.2385, 0.0446, 0.3612)
Tl (0.2414, 0.2414, 0.9160)
Tl (0.4195, 0.8028, 0.9186)
Tl (0.4224, 0.6139, 0.1140)
Tl (0.5994, 0.7950, 0.7199)
Tl (0.6115, 0.2281, 0.5331)
Tl (0.6139, 0.4224, 0.1140)
Tl (0.7950, 0.5994, 0.7199)
Tl (0.8028, 0.4195, 0.9186)


Here is a relaxed structure of K5Na4Tl from Alexandria. Energies are from PBE.

Calculated values
space-group type = C2/m, No. 12
V = 510.7 Å³/cell
formation energy from the elements = -0.04 eV/f.u.

Lattice parameters (Å, degrees): 11.3771 11.3771 10.7248 101.87 101.87 22.10
Atoms (fractional coordinates):
K (0.0000, 0.0000, 0.0000)
K (0.3007, 0.3007, 0.8529)
K (0.3866, 0.3866, 0.2717)
K (0.6133, 0.6133, 0.7283)
K (0.6993, 0.6993, 0.1471)
Na (0.1833, 0.1833, 0.4767)
Na (0.4398, 0.4398, 0.6662)
Na (0.5602, 0.5602, 0.3338)
Na (0.8167, 0.8167, 0.5233)
Tl (0.0000, 0.0000, 0.5000)


Here is a relaxed structure of KNa2Tl2 from Alexandria. Energies are from PBE.

Calculated values
space-group type = Cmmm, No. 65
V = 185.6 Å³/cell
distance to the lowest polymorph of the same formula = 79 meV per atom
formation energy from the elements = 0.04 eV/f.u.

Lattice parameters (Å, degrees): 5.3989 5.3989 6.8188 90.00 90.00 111.00
Atoms (fractional coordinates):
K (0.0000, 0.0000, 0.0000)
Na (0.1800, 0.8200, 0.5000)
Na (0.8200, 0.1800, 0.5000)
Tl (0.5000, 0.5000, 0.2598)
Tl (0.5000, 0.5000, 0.7402)


Here is a relaxed structure of KNa2TlW from Alexandria. Energies are from PBE.

Calculated values
space-group type = P4/mmm, No. 123
V = 196.3 Å³/cell
formation energy from the elements = 5.02 eV/f.u.

Lattice parameters (Å, degrees): 5.9872 5.9872 5.4762 90.00 90.00 90.00
Atoms (fractional coordinates):
K (0.0000, 0.0000, 0.0000)
Na (0.0000, 0.5000, 0.5000)
Na (0.5000, 0.0000, 0.5000)
Tl (0.5000, 0.5000, 0.0000)
W (0.5000, 0.5000, 0.5000)


Here is a relaxed structure of K2Na4Tl2Zn from Alexandria. Energies are from PBE.

Calculated values
space-group type = C2/m, No. 12
V = 312.5 Å³/cell
formation energy from the elements = -0.46 eV/f.u.

Lattice parameters (Å, degrees): 6.7158 6.7158 7.7536 95.71 95.71 64.15
Atoms (fractional coordinates):
K (0.1606, 0.1606, 0.3930)
K (0.8394, 0.8394, 0.6070)
Na (0.1307, 0.6328, 0.1405)
Na (0.3672, 0.8693, 0.8595)
Na (0.6328, 0.1307, 0.1405)
Na (0.8693, 0.3672, 0.8595)
Tl (0.3715, 0.3715, 0.7867)
Tl (0.6285, 0.6285, 0.2133)
Zn (0.5000, 0.5000, 0.5000)